## K2TlGeSe4 (GGA-PBE)

Data for K2TlGeSe4 after structural relaxation.

a = 6.8434 Å, b = 13.9130 Å, c = 25.0128 Å
α = 90.00°, β = 90.00°, γ = 90.00°
Last column: nearest neighbours and their distance in Å.
Space group Fddd (No. 70, origin choice 2)
One atom of each set of equivalent atoms:
K1 0.1250 0.1250 0.3166 [16 per cell]  4 Se 3.48-3.65
Tl1 0.1250 0.1250 0.1250 [8 per cell]  4 Se 2.89
Ge1 0.1250 0.1250 0.6250 [8 per cell]  4 Se 2.41
Se1 0.0706 0.2692 0.8209 [32 per cell]  1 Ge 2.41

- Size of the total moment: 0.02 μB/cell
- Formation energy from raw total energies: -13.49 kcal/mol of atoms
- DOS(E_F): 0.718 states/eV/atom
- Volume: 37.21 Å³/atom

## Tb2YPt (GGA-PBE)

Data for Tb2YPt after structural relaxation.

a = 3.8010 Å, b = 3.8010 Å, c = 28.5683 Å
α = 90.00°, β = 90.00°, γ = 120.00°
Last column: nearest neighbours and their distance in Å.
Space group R-3m (No. 166, hexagonal axes)
One atom of each set of equivalent atoms:
Tb1 0.0000 0.0000 0.2292 [6 per cell]  3 Pt 2.83
Y1 0.0000 0.0000 0.0000 [3 per cell]  6 Tb 3.70, 6 Y 3.80
Pt1 0.0000 0.0000 0.5000 [3 per cell]  6 Tb 2.83

- Energy relative to the lowest polymorph listed for this composition: 0.86 eV per formula unit
- Calculated formation energy: -0.492 eV/atom
- Size of the total moment: 0.00 μB/cell
- DOS(E_F): 1.093 states/eV/atom
- Volume: 29.79 Å³/atom

## Ir2IBr (GGA-PBE)

Data for Ir2IBr after structural relaxation.

a = 6.6850 Å, b = 6.6850 Å, c = 6.6850 Å
α = 90.00°, β = 90.00°, γ = 90.00°
Last column: nearest neighbours and their distance in Å.
Space group Fm-3m (No. 225)
One atom of each set of equivalent atoms:
Ir1 0.2500 0.2500 0.2500 [8 per cell]  4 Br 2.89, 4 I 2.89
I1 0.0000 0.0000 0.0000 [4 per cell]  8 Ir 2.89
Br1 0.0000 0.0000 0.5000 [4 per cell]  8 Ir 2.89

- Energy relative to the lowest polymorph listed for this composition: 0.79 eV per formula unit
- Size of the total moment: 0.00 μB/cell
- Formation energy from raw total energies: 30.23 kcal/mol of atoms
- DOS(E_F): 0.416 states/eV/atom
- Volume: 18.67 Å³/atom